No. 1
A plane-wave DFT calculation with PBE was carried out for an optimized crystal structure of USnHg.

Cell lengths 3.6109, 5.4822, 8.4395 Å; angles 111.92, 90.00, 90.00 degrees
With the nearest neighbours (Å) after each atom.
Element x y z (fractional)
Hg1 0.0000 0.4317 0.0399  2 Hg 2.79
Hg2 0.0000 0.9685 0.1044  2 Hg 2.79, 1 Sn 3.12
Sn1 0.5000 0.4190 0.3991  2 Sn 3.09, 2 Hg 3.31, 4 U 3.32-3.36
Sn2 0.0000 0.5990 0.7200  2 Sn 3.09, 2 Hg 3.12-3.16, 6 U 3.27-3.34
U1 0.5000 0.0805 0.6935  2 U 2.48
U2 0.0000 0.9588 0.4772  2 U 2.48

energy above the most stable polymorph in this dataset: 0 meV per atom
E_form: 0.0705 eV per atom
size of the total moment: 0.0 μB/f.u.

---

No. 2
A plane-wave DFT calculation with PBE was carried out for an optimized crystal structure of LiOsW.

Cell lengths 4.8380, 4.8380, 4.8380 Å; angles 142.34, 142.34, 54.31 degrees
With the nearest neighbours (Å) after each atom.
Element x y z (fractional)
Os1 0.3334 0.3334 0.0000  5 Li 2.61-2.92, 5 W 2.61-2.91
Li1 0.9947 0.9947 0.0000  5 Os 2.61-2.92, 5 W 2.68-2.78
W1 0.6719 0.6719 0.0000  5 Os 2.61-2.91, 5 Li 2.68-2.78

energy above the most stable polymorph in this dataset: 120 meV per atom
E_form: 0.2910 eV per atom
size of the total moment: 0.0 μB/f.u.

---

No. 3
A plane-wave DFT calculation with PBE was carried out for an optimized crystal structure of Li12MgIn6.

Cell lengths 7.2861, 7.2861, 7.2861 Å; angles 89.15, 89.15, 89.15 degrees
With the nearest neighbours (Å) after each atom.
Element x y z (fractional)
Li1 0.4776 0.1927 0.5766  4 In 2.85-2.94, 5 Li 2.97-3.14
Li2 0.0330 0.3814 0.1540  5 Li 2.85-3.14, 4 In 2.87-3.16, 1 Mg 3.03
Li3 0.6186 0.8460 0.9670  5 Li 2.85-3.14, 4 In 2.87-3.16, 1 Mg 3.03
Li4 0.5766 0.4776 0.1927  4 In 2.85-2.94, 5 Li 2.97-3.14
Li5 0.1540 0.0330 0.3814  5 Li 2.85-3.14, 4 In 2.87-3.16, 1 Mg 3.03
Li6 0.5224 0.8073 0.4234  4 In 2.85-2.94, 5 Li 2.97-3.14
Li7 0.1927 0.5766 0.4776  4 In 2.85-2.94, 5 Li 2.97-3.14
Li8 0.8073 0.4234 0.5224  4 In 2.85-2.94, 5 Li 2.97-3.14
Li9 0.8460 0.9670 0.6186  5 Li 2.85-3.14, 4 In 2.87-3.16, 1 Mg 3.03
Li10 0.4234 0.5224 0.8073  4 In 2.85-2.94, 5 Li 2.97-3.14
Li11 0.9670 0.6186 0.8460  5 Li 2.85-3.14, 4 In 2.87-3.16, 1 Mg 3.03
Li12 0.3814 0.1540 0.0330  5 Li 2.85-3.14, 4 In 2.87-3.16, 1 Mg 3.03
In1 0.7259 0.1234 0.2760  8 Li 2.85-3.16, 1 Mg 2.95, 2 In 3.10
In2 0.7240 0.2741 0.8766  8 Li 2.85-3.16, 1 Mg 2.95, 2 In 3.10
In3 0.2741 0.8766 0.7240  8 Li 2.85-3.16, 1 Mg 2.95, 2 In 3.10
In4 0.8766 0.7240 0.2741  8 Li 2.85-3.16, 1 Mg 2.95, 2 In 3.10
In5 0.1234 0.2760 0.7259  8 Li 2.85-3.16, 1 Mg 2.95, 2 In 3.10
In6 0.2760 0.7259 0.1234  8 Li 2.85-3.16, 1 Mg 2.95, 2 In 3.10
Mg1 0.0000 0.0000 0.0000  6 In 2.95, 6 Li 3.03

E_form: -0.2214 eV per atom
size of the total moment: 0.0 μB/f.u.

---

No. 4
A plane-wave DFT calculation with PBE was carried out for an optimized crystal structure of Mg2AgRu.

Cell lengths 2.8214, 4.3317, 5.5850 Å; angles 90.00, 90.00, 90.00 degrees
With the nearest neighbours (Å) after each atom.
Element x y z (fractional)
Mg1 0.5000 0.5000 0.2832  2 Ag 2.67-2.92, 4 Ru 2.80, 2 Mg 2.82
Mg2 0.0000 0.0000 0.9798  2 Ru 2.77-2.81, 6 Mg 2.82-3.09, 4 Ag 2.86
Ru1 0.0000 0.0000 0.4764  6 Mg 2.77-2.81, 2 Ru 2.82, 4 Ag 3.03
Ag1 0.5000 0.5000 0.7607  6 Mg 2.67-2.92, 2 Ag 2.82

E_form: 0.0901 eV per atom
size of the total moment: 0.0 μB/f.u.

---

No. 5
A plane-wave DFT calculation with PBE was carried out for an optimized crystal structure of Re2HgW.

Cell lengths 2.7655, 2.7655, 9.4769 Å; angles 90.00, 90.00, 111.48 degrees
With the nearest neighbours (Å) after each atom.
Element x y z (fractional)
Re1 0.0000 0.0000 0.4774  2 W 2.66, 4 Re 2.77
Re2 0.0000 0.0000 0.0226  2 W 2.66, 4 Re 2.77
W1 0.5000 0.5000 0.2500  4 Re 2.66, 4 W 2.77
Hg1 0.5000 0.5000 0.7500  4 Hg 2.77, 4 Re 3.02

E_form: 0.5001 eV per atom
size of the total moment: 0.0 μB/f.u.

---

No. 6
A plane-wave DFT calculation with PBE was carried out for an optimized crystal structure of ZrAl2Pt.

Cell lengths 9.3572, 9.3572, 9.3572 Å; angles 18.21, 18.21, 18.21 degrees
With the nearest neighbours (Å) after each atom.
Element x y z (fractional)
Zr1 0.7519 0.7519 0.7519  6 Zr 2.96, 3 Pt 2.97, 3 Al 3.01
Al1 0.2458 0.2458 0.2458  3 Pt 2.63, 3 Al 2.86
Al2 0.9954 0.9954 0.9954  9 Al 2.86-2.96, 3 Zr 3.01
Pt1 0.5068 0.5068 0.5068  3 Al 2.63

E_form: -0.3916 eV per atom
size of the total moment: 0.0 μB/f.u.

---

No. 7
A plane-wave DFT calculation with PBE was carried out for an optimized crystal structure of YPuHg4.

Cell lengths 5.9759, 5.9759, 5.9759 Å; angles 60.00, 60.00, 60.00 degrees
With the nearest neighbours (Å) after each atom.
Element x y z (fractional)
Pu1 0.2500 0.2500 0.2500  12 Hg 3.50, 4 Y 3.66
Hg1 0.1247 0.6251 0.6251  6 Hg 2.99
Hg2 0.6251 0.1247 0.6251  6 Hg 2.99
Hg3 0.6251 0.6251 0.1247  6 Hg 2.99
Hg4 0.6251 0.6251 0.6251  6 Hg 2.99
Y1 0.0000 0.0000 0.0000  12 Hg 3.50, 4 Pu 3.66

energy above the most stable polymorph in this dataset: 180 meV per atom
E_form: -0.0985 eV per atom
size of the total moment: 6.0 μB/f.u.

---

No. 8
A plane-wave DFT calculation with PBE was carried out for an optimized crystal structure of SrCaMo2.

Cell lengths 4.8643, 3.3499, 7.5656 Å; angles 63.44, 90.00, 90.00 degrees
With the nearest neighbours (Å) after each atom.
Element x y z (fractional)
Mo1 0.0000 0.4092 0.5891  1 Mo 2.18
Mo2 0.0000 0.0908 0.9109  1 Mo 2.18
Sr1 0.5000 0.2500 0.2500  2 Sr 3.35, 2 Ca 3.38, 8 Mo 3.74
Ca1 0.5000 0.7500 0.7500  8 Mo 3.14-3.15, 2 Ca 3.35, 2 Sr 3.38

energy above the most stable polymorph in this dataset: 454 meV per atom
E_form: 0.9147 eV per atom
size of the total moment: 0.0 μB/f.u.